Entry from the Alexandria database: a geometry-optimized YHo2U2Ru5 structure (PBE).

The space group is No. 127. The calculation puts the raw total energy at -8.74 eV per atom. Its formation energy is -0.280 eV per atom.

a = 10.570 Å, b = 10.570 Å, c = 3.620 Å
α = 90.00°, β = 90.00°, γ = 90.00°
Atoms (fractional coordinates):
Y (0.000, 0.000, 0.000)
Y (0.500, 0.500, 0.000)
Ho (0.174, 0.326, 0.000)
Ho (0.326, 0.826, 0.000)
Ho (0.674, 0.174, 0.000)
Ho (0.826, 0.674, 0.000)
U (0.134, 0.634, 0.000)
U (0.366, 0.134, 0.000)
U (0.634, 0.866, 0.000)
U (0.866, 0.366, 0.000)
Ru (0.000, 0.500, 0.500)
Ru (0.055, 0.786, 0.500)
Ru (0.214, 0.055, 0.500)
Ru (0.286, 0.555, 0.500)
Ru (0.445, 0.286, 0.500)
Ru (0.500, 0.000, 0.500)
Ru (0.555, 0.714, 0.500)
Ru (0.714, 0.445, 0.500)
Ru (0.786, 0.945, 0.500)
Ru (0.945, 0.214, 0.500)

---

Entry from the Alexandria database: a geometry-optimized Ho2ZrU2Ru5 structure (PBE).

The space group is No. 127. The calculation puts the raw total energy at -8.96 eV per atom. Its formation energy is -0.291 eV per atom.

a = 10.500 Å, b = 10.500 Å, c = 3.527 Å
α = 90.00°, β = 90.00°, γ = 90.00°
Atoms (fractional coordinates):
Ho (0.173, 0.327, 0.000)
Ho (0.327, 0.827, 0.000)
Ho (0.673, 0.173, 0.000)
Ho (0.827, 0.673, 0.000)
Zr (0.000, 0.000, 0.000)
Zr (0.500, 0.500, 0.000)
U (0.138, 0.638, 0.000)
U (0.362, 0.138, 0.000)
U (0.638, 0.862, 0.000)
U (0.862, 0.362, 0.000)
Ru (0.000, 0.500, 0.500)
Ru (0.050, 0.794, 0.500)
Ru (0.206, 0.050, 0.500)
Ru (0.294, 0.550, 0.500)
Ru (0.450, 0.294, 0.500)
Ru (0.500, 0.000, 0.500)
Ru (0.550, 0.706, 0.500)
Ru (0.706, 0.450, 0.500)
Ru (0.794, 0.950, 0.500)
Ru (0.950, 0.206, 0.500)

---

Entry from the Alexandria database: a geometry-optimized HoV2Ru3 structure (PBE).

The space group is No. 123. The calculation puts the raw total energy at -8.72 eV per atom. Its formation energy is -0.281 eV per atom.

a = 3.037 Å, b = 3.037 Å, c = 10.149 Å
α = 90.00°, β = 90.00°, γ = 90.00°
Atoms (fractional coordinates):
Ho (0.000, 0.000, 0.000)
V (0.000, 0.000, 0.346)
V (0.000, 0.000, 0.654)
Ru (0.500, 0.500, 0.213)
Ru (0.500, 0.500, 0.500)
Ru (0.500, 0.500, 0.787)